The following is a PBE-GGA calculation of crystalline PuInAg3 at its relaxed geometry, from Alexandria.

Calculated values
The value obtained for the density of states at the Fermi level is 1.8210 states/eV/atom. The energy above the most stable polymorph in this dataset comes out at 0 meV per atom.

Lattice parameters (Å, degrees): 4.9849 3.0495 13.9288 90.00 90.00 90.00
With the nearest neighbours (Å) after each atom.
Sites, in units of the cell vectors:
Pu 0.2500 0.0000 0.1540  2 Pu 3.05, 10 Ag 3.25-3.26, 2 In 3.39
Pu 0.7500 0.0000 0.8460  2 Pu 3.05, 10 Ag 3.25-3.26, 2 In 3.39
In 0.2500 0.5000 0.3714  8 Ag 2.95-3.09, 2 In 3.05
In 0.7500 0.5000 0.6286  8 Ag 2.95-3.09, 2 In 3.05
Ag 0.2500 0.0000 0.5574  6 Ag 2.96-3.05, 6 In 3.01-3.09
Ag 0.2500 0.5000 0.7416  5 Ag 2.87-3.05, 2 In 2.95
Ag 0.2500 0.5000 0.9474  5 Ag 2.87-3.05
Ag 0.7500 0.0000 0.4426  6 Ag 2.96-3.05, 6 In 3.01-3.09
Ag 0.7500 0.5000 0.0526  5 Ag 2.87-3.05
Ag 0.7500 0.5000 0.2584  5 Ag 2.87-3.05, 2 In 2.95

The following is a PBE-GGA calculation of crystalline PuIn8Ag4 at its relaxed geometry, from Alexandria.

Calculated values
The value obtained for the density of states at the Fermi level is 1.3712 states/eV/atom.

Lattice parameters (Å, degrees): 7.7061 7.7061 5.8815 112.16 112.16 81.30
With the nearest neighbours (Å) after each atom.
Sites, in units of the cell vectors:
Pu 0.0000 0.0000 0.0000  12 In 3.45-3.66, 8 Ag 3.85-3.87
In 0.2113 0.2113 0.7125  4 Ag 2.93-2.94, 4 In 3.02-3.23
In 0.2117 0.7883 0.5000  4 Ag 2.95-2.97, 6 In 3.02-3.30
In 0.3435 0.3435 0.3427  4 Ag 3.06, 5 In 3.18-3.30
In 0.3439 0.6561 0.0000  4 Ag 3.07-3.09, 5 In 3.13-3.32
In 0.6561 0.3439 0.0000  4 Ag 3.07-3.09, 5 In 3.13-3.32
In 0.6565 0.6565 0.6573  4 Ag 3.06, 5 In 3.18-3.30
In 0.7883 0.2117 0.5000  4 Ag 2.95-2.97, 6 In 3.02-3.30
In 0.7887 0.7887 0.2875  4 Ag 2.93-2.94, 4 In 3.02-3.23
Ag 0.0000 0.5000 0.0000  8 In 2.93-3.07, 2 Ag 2.94
Ag 0.0000 0.5000 0.5000  8 In 2.94-3.09, 2 Ag 2.94
Ag 0.5000 0.0000 0.0000  8 In 2.93-3.07, 2 Ag 2.94
Ag 0.5000 0.0000 0.5000  8 In 2.94-3.09, 2 Ag 2.94

The following is a PBE-GGA calculation of crystalline Pu3InAg3S8 at its relaxed geometry, from Alexandria.

Calculated values
The value obtained for the density of states at the Fermi level is 1.8004 states/eV/atom. As for the formation energy (no corrections): -13.63 eV per formula unit.

Lattice parameters (Å, degrees): 7.6326 7.6326 7.6326 63.41 63.41 63.41
With the nearest neighbours (Å) after each atom.
Sites, in units of the cell vectors:
Pu 0.0000 0.5000 0.5000  6 S 2.72-2.76
Pu 0.5000 0.0000 0.5000  6 S 2.72-2.76
Pu 0.5000 0.5000 0.0000  6 S 2.72-2.76
In 0.0000 0.0000 0.0000  6 S 2.67
Ag 0.0000 0.0000 0.5000  6 S 2.78-2.82
Ag 0.0000 0.5000 0.0000  6 S 2.78-2.82
Ag 0.5000 0.0000 0.0000  6 S 2.78-2.82
S 0.2412 0.2412 0.7559  1 In 2.67, 2 Pu 2.76, 2 Ag 2.78
S 0.2412 0.7559 0.2412  1 In 2.67, 2 Pu 2.76, 2 Ag 2.78
S 0.2441 0.7588 0.7588  1 In 2.67, 2 Pu 2.76, 2 Ag 2.78
S 0.2548 0.2548 0.2548  3 Pu 2.72, 3 Ag 2.82
S 0.7452 0.7452 0.7452  3 Pu 2.72, 3 Ag 2.82
S 0.7559 0.2412 0.2412  1 In 2.67, 2 Pu 2.76, 2 Ag 2.78
S 0.7588 0.2441 0.7588  1 In 2.67, 2 Pu 2.76, 2 Ag 2.78
S 0.7588 0.7588 0.2441  1 In 2.67, 2 Pu 2.76, 2 Ag 2.78

The following is a PBE-GGA calculation of crystalline PuInAgSb at its relaxed geometry, from Alexandria.

Calculated values
The value obtained for the density of states at the Fermi level is 2.9989 states/eV/atom. As for the formation energy (no corrections): -0.42 eV per formula unit.

Lattice parameters (Å, degrees): 5.2013 5.2013 5.2013 60.00 60.00 60.00
With the nearest neighbours (Å) after each atom.
Sites, in units of the cell vectors:
Pu 0.0000 0.0000 0.0000  4 Sb 3.19, 4 Ag 3.19
In 0.5000 0.5000 0.5000  4 Sb 3.19, 4 Ag 3.19
Ag 0.2500 0.2500 0.2500  4 In 3.19, 4 Pu 3.19
Sb 0.7500 0.7500 0.7500  4 In 3.19, 4 Pu 3.19

The following is a PBE-GGA calculation of crystalline PuScInAg at its relaxed geometry, from Alexandria.

Calculated values
The value obtained for the density of states at the Fermi level is 2.4151 states/eV/atom.

Lattice parameters (Å, degrees): 5.1461 5.1461 5.1461 60.00 60.00 60.00
With the nearest neighbours (Å) after each atom.
Sites, in units of the cell vectors:
Pu 0.0000 0.0000 0.0000  4 Ag 3.15, 4 In 3.15
Sc 0.5000 0.5000 0.5000  4 In 3.15, 4 Ag 3.15
In 0.2500 0.2500 0.2500  4 Sc 3.15, 4 Pu 3.15
Ag 0.7500 0.7500 0.7500  4 Sc 3.15, 4 Pu 3.15

The following is a PBE-GGA calculation of crystalline Pu3InAg3Se8 at its relaxed geometry, from Alexandria.

Calculated values
The value obtained for the density of states at the Fermi level is 2.0924 states/eV/atom. As for the formation energy (no corrections): -12.08 eV per formula unit.

Lattice parameters (Å, degrees): 7.9788 7.9788 7.9788 63.15 63.15 63.15
With the nearest neighbours (Å) after each atom.
Sites, in units of the cell vectors:
Pu 0.0000 0.5000 0.5000  6 Se 2.87-2.90
Pu 0.5000 0.0000 0.5000  6 Se 2.87-2.90
Pu 0.5000 0.5000 0.0000  6 Se 2.87-2.90
In 0.0000 0.0000 0.0000  6 Se 2.81
Ag 0.0000 0.0000 0.5000  6 Se 2.88-2.91
Ag 0.0000 0.5000 0.0000  6 Se 2.88-2.91
Ag 0.5000 0.0000 0.0000  6 Se 2.88-2.91
Se 0.2433 0.2433 0.7573  1 In 2.81, 2 Ag 2.88, 2 Pu 2.90
Se 0.2433 0.7573 0.2433  1 In 2.81, 2 Ag 2.88, 2 Pu 2.90
Se 0.2427 0.7567 0.7567  1 In 2.81, 2 Ag 2.88, 2 Pu 2.90
Se 0.2520 0.2520 0.2520  3 Pu 2.87, 3 Ag 2.91
Se 0.7480 0.7480 0.7480  3 Pu 2.87, 3 Ag 2.91
Se 0.7573 0.2433 0.2433  1 In 2.81, 2 Ag 2.88, 2 Pu 2.90
Se 0.7567 0.2427 0.7567  1 In 2.81, 2 Ag 2.88, 2 Pu 2.90
Se 0.7567 0.7567 0.2427  1 In 2.81, 2 Ag 2.88, 2 Pu 2.90

no.,DFT total energy (Ry/atom)
1,-0.3794
2,-0.2722
3,-0.4946
4,-0.4495
5,-0.4906
6,-0.4618